(1)
First-principles (SCAN) data for a crystal of Ba2CaP4H6O16 relaxed with PBEsol, as listed in the Alexandria database.

Values from the calculation:
The spin magnetization is 0.0 μB per formula unit. As for the final energy: -639.9 eV/cell. The calculation puts the density of states at the Fermi level at 0.00 states/eV/cell. The space-group type is P2_1/c.

Unit cell a=5.484 b=10.223 c=12.229 alpha=90.00 beta=100.52 gamma=90.00
Positions (direct):
Ba: 0.145 0.659 0.828
Ba: 0.145 0.841 0.328
Ba: 0.855 0.159 0.672
Ba: 0.855 0.341 0.172
Ca: 0.000 0.500 0.500
Ca: 0.000 0.000 0.000
P: 0.238 0.303 0.944
P: 0.238 0.197 0.444
P: 0.411 0.991 0.797
P: 0.411 0.509 0.297
P: 0.589 0.491 0.703
P: 0.589 0.009 0.203
P: 0.762 0.803 0.556
P: 0.762 0.697 0.056
H: 0.299 0.038 0.568
H: 0.373 0.326 0.760
H: 0.564 0.176 0.933
H: 0.436 0.676 0.567
H: 0.299 0.462 0.068
H: 0.627 0.826 0.740
H: 0.373 0.174 0.260
H: 0.701 0.538 0.932
H: 0.564 0.324 0.433
H: 0.436 0.824 0.067
H: 0.627 0.674 0.240
H: 0.701 0.962 0.432
O: 0.166 0.303 0.818
O: 0.173 0.990 0.845
O: 0.243 0.452 0.981
O: 0.070 0.274 0.506
O: 0.166 0.197 0.318
O: 0.173 0.510 0.345
O: 0.243 0.048 0.481
O: 0.070 0.226 0.006
O: 0.374 0.062 0.683
O: 0.368 0.558 0.626
O: 0.518 0.257 0.979
O: 0.477 0.843 0.781
O: 0.523 0.343 0.719
O: 0.482 0.757 0.521
O: 0.632 0.058 0.874
O: 0.626 0.562 0.817
O: 0.374 0.438 0.183
O: 0.368 0.942 0.126
O: 0.518 0.243 0.479
O: 0.477 0.657 0.281
O: 0.523 0.157 0.219
O: 0.482 0.743 0.021
O: 0.632 0.442 0.374
O: 0.626 0.938 0.317
O: 0.930 0.774 0.994
O: 0.757 0.952 0.519
O: 0.827 0.490 0.655
O: 0.834 0.803 0.682
O: 0.930 0.726 0.494
O: 0.757 0.548 0.019
O: 0.827 0.010 0.155
O: 0.834 0.697 0.182


(2)
First-principles (SCAN) data for a crystal of LiCuPO4 relaxed with PBEsol, as listed in the Alexandria database.

Values from the calculation:
The calculation puts the distance to the lowest polymorph of the same formula at 4 meV per atom. The spin magnetization is 1.0 μB per formula unit. Its uncorrected formation energy is -2.061 eV per atom. The calculation puts the density of states at the Fermi level at 0.05 states/eV/cell. The space-group type is Cmcm.

Unit cell a=4.846 b=4.846 c=6.180 alpha=90.00 beta=90.00 gamma=111.13
Positions (direct):
Li: 0.674 0.326 0.750
Li: 0.326 0.674 0.250
Cu: 0.000 0.000 0.000
Cu: 0.000 0.000 0.500
P: 0.652 0.348 0.250
P: 0.348 0.652 0.750
O: 0.760 0.240 0.044
O: 0.760 0.240 0.456
O: 0.305 0.241 0.250
O: 0.241 0.305 0.750
O: 0.759 0.695 0.250
O: 0.695 0.759 0.750
O: 0.240 0.760 0.956
O: 0.240 0.760 0.544


(3)
First-principles (SCAN) data for a crystal of GeP2ClF relaxed with PBEsol, as listed in the Alexandria database.

Values from the calculation:
The spin magnetization is 0.0 μB per formula unit. Its uncorrected formation energy is 0.464 eV per atom. The calculation puts the density of states at the Fermi level at 3.09 states/eV/cell. The space-group type is P4/mmm.

Unit cell a=4.049 b=4.049 c=5.487 alpha=90.00 beta=90.00 gamma=90.00
Positions (direct):
P: 0.000 0.500 0.000
P: 0.500 0.000 0.000
Ge: 0.500 0.500 0.500
F: 0.000 0.000 0.000
Cl: 0.000 0.000 0.500


(4)
First-principles (SCAN) data for a crystal of La2Al3Sn relaxed with PBEsol, as listed in the Alexandria database.

Values from the calculation:
The spin magnetization is 0.0 μB per formula unit. The calculation puts the density of states at the Fermi level at 2.50 states/eV/cell. The space-group type is Pmm2. For the formation energy, the calculation gives -0.638 eV per atom.

Unit cell a=4.318 b=4.489 c=7.781 alpha=90.00 beta=90.00 gamma=90.00
Positions (direct):
La: 0.000 0.500 0.998
La: 0.000 0.000 0.502
Al: 0.500 0.000 0.830
Al: 0.500 0.000 0.156
Al: 0.500 0.500 0.677
Sn: 0.500 0.500 0.336


(5)
First-principles (SCAN) data for a crystal of MnSb4 relaxed with PBEsol, as listed in the Alexandria database.

Values from the calculation:
The spin magnetization is 4.6 μB per formula unit. Its uncorrected formation energy is 0.292 eV per atom. The calculation puts the density of states at the Fermi level at 2.61 states/eV/cell. The space-group type is I4/mmm.

Unit cell a=5.874 b=5.906 c=5.874 alpha=60.18 beta=90.00 gamma=119.82
Positions (direct):
Mn: 0.000 0.000 0.000
Sb: 0.250 0.500 0.250
Sb: 0.750 0.500 0.750
Sb: 0.318 0.636 0.682
Sb: 0.682 0.364 0.318


(6)
First-principles (SCAN) data for a crystal of Ba2PAu relaxed with PBEsol, as listed in the Alexandria database.

Values from the calculation:
The spin magnetization is 0.0 μB per formula unit. The calculation puts the density of states at the Fermi level at 1.09 states/eV/cell. The space-group type is Cm. For the formation energy, the calculation gives -0.990 eV per atom.

Unit cell a=4.463 b=4.622 c=6.339 alpha=90.08 beta=110.61 gamma=90.00
Positions (direct):
P: 0.448 0.624 0.897
Au: 0.302 0.127 0.603
Ba: 0.011 0.124 0.022
Ba: 0.739 0.626 0.478


(7)
First-principles (SCAN) data for a crystal of BaCd3 relaxed with PBEsol, as listed in the Alexandria database.

Values from the calculation:
The spin magnetization is 0.0 μB per formula unit. The calculation puts the density of states at the Fermi level at 4.36 states/eV/cell. The space-group type is Pmmn. For the formation energy, the calculation gives -0.320 eV per atom.

Unit cell a=4.888 b=6.793 c=6.988 alpha=90.00 beta=90.00 gamma=90.00
Positions (direct):
Ba: 0.000 0.392 0.000
Ba: 0.500 0.608 0.500
Cd: 0.500 0.791 0.000
Cd: 0.000 0.209 0.500
Cd: 0.000 0.874 0.774
Cd: 0.000 0.874 0.226
Cd: 0.500 0.126 0.274
Cd: 0.500 0.126 0.726


(8)
First-principles (SCAN) data for a crystal of KHgPb2 relaxed with PBEsol, as listed in the Alexandria database.

Values from the calculation:
The spin magnetization is 0.0 μB per formula unit. The calculation puts the density of states at the Fermi level at 1.73 states/eV/cell. The space-group type is Cm. For the formation energy, the calculation gives -0.176 eV per atom.

Unit cell a=3.493 b=5.258 c=7.325 alpha=97.27 beta=90.00 gamma=109.40
Positions (direct):
Pb: 0.995 0.990 0.960
Pb: 0.250 0.500 0.740
K: 0.753 0.506 0.264
Hg: 0.502 0.004 0.536


(9)
First-principles (SCAN) data for a crystal of ScTcMo4 relaxed with PBEsol, as listed in the Alexandria database.

Values from the calculation:
The spin magnetization is 0.0 μB per formula unit. The calculation puts the density of states at the Fermi level at 5.82 states/eV/cell. The space-group type is F-43m. For the formation energy, the calculation gives 0.174 eV per atom.

Unit cell a=5.185 b=5.185 c=5.185 alpha=60.00 beta=60.00 gamma=60.00
Positions (direct):
Mo: 0.375 0.375 0.375
Mo: 0.375 0.375 0.875
Mo: 0.875 0.375 0.375
Mo: 0.375 0.875 0.375
Sc: 0.750 0.750 0.750
Tc: 0.000 0.000 0.000


(10)
First-principles (SCAN) data for a crystal of Al2ZnSi2 relaxed with PBEsol, as listed in the Alexandria database.

Values from the calculation:
The spin magnetization is 0.0 μB per formula unit. Its uncorrected formation energy is 0.292 eV per atom. The calculation puts the density of states at the Fermi level at 1.73 states/eV/cell. The space-group type is I4/mmm.

Unit cell a=3.427 b=3.427 c=7.425 alpha=103.34 beta=103.34 gamma=90.00
Positions (direct):
Zn: 0.000 0.000 0.000
Si: 0.250 0.750 0.500
Si: 0.750 0.250 0.500
Al: 0.401 0.401 0.801
Al: 0.599 0.599 0.199


(11)
First-principles (SCAN) data for a crystal of CrRuCl relaxed with PBEsol, as listed in the Alexandria database.

Values from the calculation:
The spin magnetization is 0.0 μB per formula unit. Its uncorrected formation energy is 0.246 eV per atom. The calculation puts the density of states at the Fermi level at 2.15 states/eV/cell. The space-group type is P3m1.

Unit cell a=2.789 b=2.789 c=5.958 alpha=90.00 beta=90.00 gamma=120.00
Positions (direct):
Ru: 0.667 0.333 0.362
Cl: 0.000 0.000 0.963
Cr: 0.333 0.667 0.675